{"formula": "ScGeP2S", "functional": "GGA-PBE", "state": "optimized geometry", "lattice": [[4.9369, 0.0000, 0.0000], [0.0000, 4.9369, 0.0000], [0.0000, 0.0000, 4.8625]], "species": ["Sc", "P", "P", "Ge", "S"], "frac_coords": [[0.0000, 0.0000, 0.0000], [0.0000, 0.5000, 0.0000], [0.5000, 0.0000, 0.0000], [0.5000, 0.5000, 0.5000], [0.0000, 0.0000, 0.5000]], "energy_ev_per_atom": -4.88, "polymorph_energy_mev_per_atom": 62, "dos_ef_per_ev_fu": 5.1, "volume_a3_per_atom": 23.7, "m_tot_mub_per_fu": 0.000, "e_form_raw_ev_per_atom": 0.303}

=====

{"formula": "AlHgW", "functional": "GGA-PBE", "state": "optimized geometry", "lattice": [[-1.3113, -1.1944, 2.3593], [2.7878, -0.7128, -0.6578], [2.2886, 5.3005, 3.9554]], "species": ["Hg", "W", "Al"], "frac_coords": [[0.6667, 0.3333, 0.3292], [0.3333, 0.6667, 0.6836], [0.0000, 0.0000, 0.9873]], "energy_ev_per_atom": -5.28, "polymorph_energy_mev_per_atom": 0, "dos_ef_per_ev_fu": 1.9, "volume_a3_per_atom": 17.6, "m_tot_mub_per_fu": 0.000}

=====

{"formula": "CrTcPb", "functional": "GGA-PBE", "state": "optimized geometry", "lattice": [[-1.0034, 1.9198, -2.2673], [1.4740, -2.6665, -0.7417], [-5.8167, -3.1820, -0.1201]], "species": ["Cr", "Pb", "Tc"], "frac_coords": [[0.0000, 0.0000, 0.9467], [0.6667, 0.3333, 0.3275], [0.3333, 0.6667, 0.7258]], "energy_ev_per_atom": -7.31, "polymorph_energy_mev_per_atom": 64, "dos_ef_per_ev_fu": 2.8, "volume_a3_per_atom": 18.8, "m_tot_mub_per_fu": 0.004}

=====

{"formula": "RbVMo2Pb", "functional": "GGA-PBE", "state": "optimized geometry", "lattice": [[4.8116, 0.0000, 0.0000], [0.0000, 5.4353, 0.0000], [0.0000, 0.0000, 4.8116]], "species": ["Pb", "Mo", "Mo", "Rb", "V"], "frac_coords": [[0.0000, 0.5000, 0.0000], [0.0000, 0.0000, 0.5000], [0.5000, 0.0000, 0.0000], [0.5000, 0.5000, 0.5000], [0.0000, 0.0000, 0.0000]], "energy_ev_per_atom": -5.78, "dos_ef_per_ev_fu": 4.4, "volume_a3_per_atom": 25.2, "m_tot_mub_per_fu": 3.454}

=====

{"formula": "Nb2TcOs2", "functional": "GGA-PBE", "state": "optimized geometry", "lattice": [[-3.4158, -4.6646, 4.5871], [6.2462, -0.7865, 3.8514], [-0.8073, 2.3508, 1.7894]], "species": ["Nb", "Nb", "Nb", "Nb", "Os", "Os", "Os", "Os", "Tc", "Tc"], "frac_coords": [[0.1681, 0.6681, 0.5000], [0.6681, 0.8319, 0.5000], [0.8319, 0.3319, 0.5000], [0.3319, 0.1681, 0.5000], [0.3669, 0.8669, 0.0000], [0.8669, 0.6331, 0.0000], [0.6331, 0.1331, 0.0000], [0.1331, 0.3669, 0.0000], [0.0000, 0.0000, 0.0000], [0.5000, 0.5000, 0.0000]], "energy_ev_per_atom": -10.42, "dos_ef_per_ev_fu": 5.6, "volume_a3_per_atom": 16.7, "m_tot_mub_per_fu": 0.000}

=====

{"formula": "ZnRu2Se", "functional": "GGA-PBE", "state": "optimized geometry", "lattice": [[4.4079, 0.0000, 0.0000], [2.2039, 3.8173, 0.0000], [2.2039, 1.2724, 3.5990]], "species": ["Ru", "Ru", "Se", "Zn"], "frac_coords": [[0.0000, 0.0000, 0.0000], [0.2500, 0.2500, 0.2500], [0.5000, 0.5000, 0.5000], [0.7500, 0.7500, 0.7500]], "energy_ev_per_atom": -5.38, "polymorph_energy_mev_per_atom": 357, "dos_ef_per_ev_fu": 4.3, "volume_a3_per_atom": 15.1, "m_tot_mub_per_fu": 1.054, "e_form_raw_ev_per_atom": 0.448}

=====

{"formula": "LiTbBiPb", "functional": "GGA-PBE", "state": "optimized geometry", "lattice": [[5.3621, 0.0000, 0.0000], [2.6810, 4.6437, 0.0000], [2.6810, 1.5479, 4.3781]], "species": ["Pb", "Tb", "Bi", "Li"], "frac_coords": [[0.2500, 0.2500, 0.2500], [0.5000, 0.5000, 0.5000], [0.7500, 0.7500, 0.7500], [0.0000, 0.0000, 0.0000]], "energy_ev_per_atom": -3.89, "dos_ef_per_ev_fu": 3.9, "volume_a3_per_atom": 27.3, "m_tot_mub_per_fu": 0.000}

=====

{"formula": "CeNdP2Rh5", "functional": "GGA-PBE", "state": "optimized geometry", "lattice": [[4.0403, 0.0000, 0.0000], [0.0000, 4.0403, 0.0000], [0.0000, 0.0000, 10.9844]], "species": ["Ce", "Nd", "P", "P", "Rh", "Rh", "Rh", "Rh", "Rh"], "frac_coords": [[0.0000, 0.0000, 0.5000], [0.0000, 0.0000, 0.0000], [0.5000, 0.5000, 0.2923], [0.5000, 0.5000, 0.7077], [0.0000, 0.5000, 0.2012], [0.5000, 0.0000, 0.2012], [0.0000, 0.5000, 0.7988], [0.5000, 0.0000, 0.7988], [0.5000, 0.5000, 0.5000]], "energy_ev_per_atom": -7.22, "dos_ef_per_ev_fu": 8.6, "volume_a3_per_atom": 19.9, "m_tot_mub_per_fu": 0.604}